No. 1
The following is a GGA-PBE calculation of Cu2TcNi after structural relaxation, from the Alexandria database. Values from VASP.

Excess energy over the best structure of this formula in the dataset = 0.108 eV per atom
Theoretical density = 9.54 g/cm³
Density of states at the Fermi level = 1.04 states/eV per atom
Volume = 12.353 A^3/atom

Quantum ESPRESSO input file:
```
&SYSTEM
  ibrav = 0, nat = 4, ntyp = 3
/
ATOMIC_SPECIES
Tc 98.00 Tc.upf
Cu 63.55 Cu.upf
Ni 58.69 Ni.upf
CELL_PARAMETERS angstrom
2.5386 0.0006 0.0000
-0.0008 2.5386 0.0000
0.0000 0.0000 7.6675
ATOMIC_POSITIONS angstrom
Tc 1.2689 1.2696 5.7507
Cu 0.0000 0.0000 0.1321
Cu 0.0000 0.0000 3.7016
Ni 1.2689 1.2696 1.9169
```

---

No. 2
The following is a GGA-PBE calculation of Li2AcPN after structural relaxation, from the Alexandria database. Values from VASP.

Theoretical density = 5.15 g/cm³
Formation energy from raw total energies = -668 meV per atom
Density of states at the Fermi level = 0.85 states/eV per atom
Volume = 18.437 A^3/atom

Quantum ESPRESSO input file:
```
&SYSTEM
  ibrav = 0, nat = 10, ntyp = 4
/
ATOMIC_SPECIES
Ac 227.00 Ac.upf
Li 6.94 Li.upf
P 30.97 P.upf
N 14.01 N.upf
CELL_PARAMETERS angstrom
-5.5427 2.6755 -0.7667
-0.3979 -2.4518 -5.6831
0.8416 -3.9987 5.0507
ATOMIC_POSITIONS angstrom
Ac -1.0644 -1.9435 0.9129
Li -1.0414 -0.3870 -2.0365
P -1.2637 -3.1701 -1.9283
Li -2.1969 -1.1511 -5.0104
N -5.0990 -3.7751 -1.3991
Li -3.7441 1.3739 -1.4391
Ac -4.0347 -1.8317 -2.3120
Li -4.8997 0.6098 -4.4129
P -3.8362 -0.6066 0.5299
N -2.1287 -3.8869 1.8258
```

---

No. 3
The following is a GGA-PBE calculation of PmSm2YS6 after structural relaxation, from the Alexandria database. Values from VASP.

Theoretical density = 4.47 g/cm³
Formation energy from raw total energies = -2036 meV per atom
Density of states at the Fermi level = 0.00 states/eV per atom
Volume = 27.001 A^3/atom

Quantum ESPRESSO input file:
```
&SYSTEM
  ibrav = 0, nat = 10, ntyp = 4
/
ATOMIC_SPECIES
S 32.06 S.upf
Sm 150.36 Sm.upf
Y 88.91 Y.upf
Pm 145.00 Pm.upf
CELL_PARAMETERS angstrom
-6.3256 2.2615 -2.1828
-5.8848 -2.8925 2.6260
-4.1248 4.0502 4.7193
ATOMIC_POSITIONS angstrom
S -9.9115 1.9346 4.5177
S -10.4832 1.3480 0.7711
Sm -4.1220 3.8225 4.4754
S -7.8294 -1.1756 3.1543
Sm -8.1645 1.4531 2.3059
S -6.1500 1.7846 0.4153
S -8.3169 4.3086 2.3244
Y -4.0728 0.0081 0.3818
Pm -12.2408 1.7591 3.0081
S -6.3158 2.1279 4.3806
```

---

No. 4
The following is a GGA-PBE calculation of ZnHgPO2 after structural relaxation, from the Alexandria database. Values from VASP.

Excess energy over the best structure of this formula in the dataset = 0.519 eV per atom
Theoretical density = 6.80 g/cm³
Formation energy from raw total energies = 186 meV per atom
Density of states at the Fermi level = 0.68 states/eV per atom
Volume = 16.068 A^3/atom

Quantum ESPRESSO input file:
```
&SYSTEM
  ibrav = 0, nat = 5, ntyp = 4
/
ATOMIC_SPECIES
O 16.00 O.upf
P 30.97 P.upf
Hg 200.59 Hg.upf
Zn 65.41 Zn.upf
CELL_PARAMETERS angstrom
-1.3024 3.5681 -0.3905
-3.5451 -1.3437 -0.4542
-0.8109 0.2996 5.4423
ATOMIC_POSITIONS angstrom
O -1.7726 -0.6719 -0.2271
P -0.4054 0.1498 2.7211
O -0.6512 1.7840 -0.1952
Hg -2.8292 1.2620 2.2988
Zn 0.0000 0.0000 0.0000
```

---

No. 5
The following is a GGA-PBE calculation of Tb2Hg2Pd7 after structural relaxation, from the Alexandria database. Values from VASP.

Total energy = -4.74 eV/atom
Theoretical density = 11.53 g/cm³
Density of states at the Fermi level = 0.49 states/eV per atom
Volume = 19.162 A^3/atom

Quantum ESPRESSO input file:
```
&SYSTEM
  ibrav = 0, nat = 11, ntyp = 3
/
ATOMIC_SPECIES
Pd 106.42 Pd.upf
Tb 158.93 Tb.upf
Hg 200.59 Hg.upf
CELL_PARAMETERS angstrom
5.2258 -0.8193 -0.9367
-1.2853 6.5705 0.3118
-1.2853 -0.5650 6.5536
ATOMIC_POSITIONS angstrom
Pd 1.8086 5.2992 2.3674
Tb -1.2853 0.8429 5.3220
Pd 3.1737 3.5833 4.0963
Pd 2.6129 -0.4097 -0.4683
Pd 0.8466 -0.1131 3.5613
Pd 1.8086 1.6415 5.5671
Hg 0.4201 3.6148 4.1324
Pd 0.8466 3.5447 0.3616
Pd -0.5185 1.6028 1.8323
Tb -1.2853 5.1625 1.5434
Hg 2.2351 1.5713 1.7963
```

---

No. 6
The following is a GGA-PBE calculation of CaLaTeBr after structural relaxation, from the Alexandria database. Values from VASP.

Excess energy over the best structure of this formula in the dataset = 0.069 eV per atom
Theoretical density = 4.64 g/cm³
Formation energy from raw total energies = -1350 meV per atom
Density of states at the Fermi level = 0.59 states/eV per atom
Volume = 34.585 A^3/atom

Quantum ESPRESSO input file:
```
&SYSTEM
  ibrav = 0, nat = 12, ntyp = 4
/
ATOMIC_SPECIES
Te 127.60 Te.upf
Ca 40.08 Ca.upf
Br 79.90 Br.upf
La 138.91 La.upf
CELL_PARAMETERS angstrom
4.2132 0.0000 0.0000
-2.1066 3.6487 0.0000
0.0000 0.0000 26.9968
ATOMIC_POSITIONS angstrom
Te 2.1066 1.2162 19.1218
Ca 0.0000 2.4325 8.2405
Br 0.0000 2.4325 24.3268
La 0.0000 2.4325 21.2625
Br 0.0000 0.0000 6.3289
Ca 2.1066 1.2162 26.2384
Ca 0.0000 0.0000 17.2395
Br 2.1066 1.2162 15.3278
Te 0.0000 2.4325 1.1240
La 0.0000 0.0000 3.2646
La 2.1066 1.2162 12.2636
Te 0.0000 0.0000 10.1229
```

---

No. 7
The following is a GGA-PBE calculation of La2Y5TmTh after structural relaxation, from the Alexandria database. Values from VASP.

Total energy = -5.73 eV/atom
Theoretical density = 6.25 g/cm³
Density of states at the Fermi level = 1.47 states/eV per atom
Volume = 33.179 A^3/atom

Quantum ESPRESSO input file:
```
&SYSTEM
  ibrav = 0, nat = 18, ntyp = 4
/
ATOMIC_SPECIES
Y 88.91 Y.upf
La 138.91 La.upf
Tm 168.93 Tm.upf
Th 232.04 Th.upf
CELL_PARAMETERS angstrom
-8.2145 -1.5944 2.4580
-2.4125 -0.4709 -8.3678
6.8102 -6.6752 2.9572
ATOMIC_POSITIONS angstrom
Y 2.8829 -5.1727 -2.5048
La -5.3467 -1.0381 0.5397
La -5.2803 -1.0272 -6.4496
Y -7.3496 -3.6952 -4.7983
Tm -0.4579 -4.0893 -4.1828
Y -2.4290 -2.7386 -1.1103
Y -5.3135 -1.0326 -2.9549
Th -4.5651 -4.8865 -2.9538
Y -3.0790 -2.8661 -5.4607
Th 0.7484 -3.8539 0.0011
Y -0.7378 -5.8743 2.5080
Y -1.3878 -6.0018 -1.8424
La -1.8829 -0.3665 -2.9213
Y -6.6997 -3.5677 -0.4479
Y 0.0000 0.0000 0.0000
La -8.7441 -1.6988 -2.9886
Y 3.5329 -5.0452 1.8456
Tm -3.3589 -4.6511 1.2301
```

---

No. 8
The following is a GGA-PBE calculation of Tb2MgAu3 after structural relaxation, from the Alexandria database. Values from VASP.

Excess energy over the best structure of this formula in the dataset = 0.000 eV per atom
Theoretical density = 11.74 g/cm³
Density of states at the Fermi level = 0.45 states/eV per atom
Volume = 22.004 A^3/atom

Quantum ESPRESSO input file:
```
&SYSTEM
  ibrav = 0, nat = 12, ntyp = 3
/
ATOMIC_SPECIES
Mg 24.30 Mg.upf
Tb 158.93 Tb.upf
Au 196.97 Au.upf
CELL_PARAMETERS angstrom
-0.2388 -4.4060 2.3665
1.7708 0.2367 -4.6774
11.2305 1.7218 4.3389
ATOMIC_POSITIONS angstrom
Mg 4.1924 -2.2818 1.4718
Mg 8.5701 -0.1658 0.5563
Tb 9.6319 -1.4478 3.5733
Au 1.3285 -2.7208 0.3653
Tb 5.6152 0.8609 2.1694
Au 2.8207 0.4324 1.0898
Au 8.4098 1.2893 3.2491
Tb 0.0000 0.0000 0.0000
Au 5.8881 -0.5769 -0.4799
Au 6.8744 -1.8706 2.5079
Tb 3.1306 -0.9997 -1.5453
Au 11.4340 0.2733 1.6627
```